{
  "formula": "TbDy3Er3",
  "functional": "PBE-GGA",
  "state": "relaxed",
  "magnetic_moment_mub_per_fu": 0.00,
  "e_above_lowest_polymorph_mev_per_atom": 137,
  "crystal_system": "trigonal",
  "formation_enthalpy_0k_ev_per_atom": 0.1444,
  "sg": "No. 148",
  "density_g_cm3": 8.372,
  "lattice_angstrom": [[-2.2485, -1.7931, -5.3957], [3.6992, -2.5084, -4.1723], [-2.1469, -14.1835, 2.1438]],
  "species": ["Tb", "Er", "Er", "Er", "Dy", "Dy", "Er", "Dy", "Er", "Er", "Tb", "Dy", "Dy", "Dy"],
  "fractional_positions": [[0.6667, 0.6667, 0.9999], [0.4005, 0.0664, 0.8006], [0.7326, 0.4005, 0.8006], [0.9336, 0.2674, 0.1994], [0.1327, 0.4640, 0.6022], [0.8673, 0.5360, 0.3978], [0.2674, 0.5995, 0.1994], [0.1988, 0.8673, 0.3978], [0.5995, 0.9336, 0.1994], [0.0664, 0.7326, 0.8006], [0.3333, 0.3333, 0.0001], [0.4640, 0.8012, 0.6022], [0.8012, 0.1327, 0.6022], [0.5360, 0.1988, 0.3978]]
}